No. 1
Below is crystalline LiAc2ZrS5 at its relaxed geometry, with properties calculated at the PBE level.

a b c (Å): 8.7205 8.7205 11.9746
angles (deg): 90.00 90.00 153.02
Fractional positions:
Li 0.0496 0.9504 0.5000
Li 0.9504 0.0496 0.0000
Ac 0.3696 0.6304 0.3516
Ac 0.3871 0.6129 0.7382
Ac 0.6129 0.3871 0.2382
Ac 0.6304 0.3696 0.8516
Zr 0.3049 0.6951 0.0568
Zr 0.6951 0.3049 0.5568
S 0.0038 0.9962 0.8197
S 0.1481 0.8519 0.0489
S 0.1894 0.8106 0.4092
S 0.2106 0.7894 0.7030
S 0.4479 0.5521 0.0960
S 0.5521 0.4479 0.5960
S 0.7894 0.2106 0.2030
S 0.8106 0.1894 0.9092
S 0.8519 0.1481 0.5489
S 0.9962 0.0038 0.3197

## Properties
The crystal system is orthorhombic. The total DFT energy (no corrections) comes out at -6.23 eV/atom.

No. 2
Below is crystalline LiAc2ZrS6 at its relaxed geometry, with properties calculated at the PBE level.

a b c (Å): 6.4379 7.5609 11.5130
angles (deg): 90.00 122.57 90.00
Fractional positions:
Li 0.0000 0.0000 0.0000
Li 0.0000 0.5000 0.5000
Ac 0.2119 0.1002 0.7515
Ac 0.2119 0.3998 0.2515
Ac 0.7881 0.6002 0.7485
Ac 0.7881 0.8998 0.2485
Zr 0.5000 0.0000 0.5000
Zr 0.5000 0.5000 0.0000
S 0.1243 0.1799 0.4522
S 0.1243 0.3201 0.9522
S 0.2804 0.6978 0.4520
S 0.2804 0.8022 0.9520
S 0.3398 0.0224 0.2457
S 0.3398 0.4776 0.7457
S 0.6602 0.5224 0.2543
S 0.6602 0.9776 0.7543
S 0.7196 0.1978 0.0480
S 0.7196 0.3022 0.5480
S 0.8757 0.6799 0.0478
S 0.8757 0.8201 0.5478

## Properties
The crystal system is monoclinic. The total DFT energy (no corrections) comes out at -6.06 eV/atom.

No. 3
Below is crystalline Li2Ac3Sb4 at its relaxed geometry, with properties calculated at the PBE level.

a b c (Å): 7.7093 7.7093 9.7621
angles (deg): 119.52 119.52 35.59
Fractional positions:
Li 0.1832 0.1832 0.3798
Li 0.8168 0.8168 0.6202
Ac 0.1362 0.1362 0.7241
Ac 0.5000 0.5000 0.0000
Ac 0.8638 0.8638 0.2759
Sb 0.1794 0.1794 0.0951
Sb 0.4239 0.4239 0.5952
Sb 0.5761 0.5761 0.4048
Sb 0.8206 0.8206 0.9049

## Properties
The crystal system is monoclinic. The total DFT energy (no corrections) comes out at -4.55 eV/atom.

No. 4
Below is crystalline LiAcSb4 at its relaxed geometry, with properties calculated at the PBE level.

a b c (Å): 6.3768 6.3768 6.3768
angles (deg): 60.00 60.00 60.00
Fractional positions:
Li 0.0000 0.0000 0.0000
Ac 0.7500 0.7500 0.7500
Sb 0.3736 0.3736 0.3736
Sb 0.3736 0.3736 0.8791
Sb 0.3736 0.8791 0.3736
Sb 0.8791 0.3736 0.3736

## Properties
The crystal system is cubic. The total DFT energy (no corrections) comes out at -4.00 eV/atom.

No. 5
Below is crystalline LiAcSb at its relaxed geometry, with properties calculated at the PBE level.

a b c (Å): 4.6562 4.6562 4.5784
angles (deg): 90.00 90.00 120.00
Fractional positions:
Li 0.0000 0.0000 0.0000
Ac 0.6667 0.3333 0.5000
Sb 0.3333 0.6667 0.0000

## Properties
The relative energy among the computed polymorphs is 0 meV/atom. The crystal system is hexagonal.

No. 6
Below is crystalline LiAcSb at its relaxed geometry, with properties calculated at the PBE level.

a b c (Å): 5.2810 5.2810 5.2810
angles (deg): 60.00 60.00 60.00
Fractional positions:
Li 0.0000 0.0000 0.0000
Ac 0.5000 0.5000 0.5000
Sb 0.7500 0.7500 0.7500

## Properties
The relative energy among the computed polymorphs is 276 meV/atom. The crystal system is cubic.

No. 7
Below is crystalline Li2Ac3Sb3 at its relaxed geometry, with properties calculated at the PBE level.

a b c (Å): 6.7306 6.7306 16.3454
angles (deg): 90.00 90.00 139.35
Fractional positions:
Li 0.2271 0.7729 0.5895
Li 0.2271 0.7729 0.9105
Li 0.7729 0.2271 0.0895
Li 0.7729 0.2271 0.4105
Ac 0.0735 0.9265 0.1076
Ac 0.0735 0.9265 0.3924
Ac 0.3628 0.6372 0.2500
Ac 0.6372 0.3628 0.7500
Ac 0.9265 0.0735 0.6076
Ac 0.9265 0.0735 0.8924
Sb 0.3456 0.6544 0.7500
Sb 0.3712 0.6288 0.0489
Sb 0.3712 0.6288 0.4511
Sb 0.6288 0.3712 0.5489
Sb 0.6288 0.3712 0.9511
Sb 0.6544 0.3456 0.2500

## Properties
The crystal system is orthorhombic. The total DFT energy (no corrections) comes out at -4.48 eV/atom.

No. 8
Below is crystalline LiAcSb at its relaxed geometry, with properties calculated at the PBE level.

a b c (Å): 6.3807 6.3807 6.3807
angles (deg): 144.25 144.25 51.46
Fractional positions:
Li 0.0000 0.0000 0.0000
Ac 0.2892 0.2892 0.0000
Sb 0.5919 0.5919 0.0000

## Properties
The relative energy among the computed polymorphs is 441 meV/atom. The crystal system is tetragonal.

No. 9
Below is crystalline LiAc3Sb at its relaxed geometry, with properties calculated at the PBE level.

a b c (Å): 5.6399 5.6399 5.6399
angles (deg): 90.00 90.00 90.00
Fractional positions:
Li 0.0000 0.0000 0.0000
Ac 0.0000 0.0000 0.5000
Ac 0.0000 0.5000 0.0000
Ac 0.5000 0.0000 0.0000
Sb 0.5000 0.5000 0.5000

## Properties
The crystal system is cubic. The total DFT energy (no corrections) comes out at -3.66 eV/atom.

No. 10
Below is crystalline LiAcSb at its relaxed geometry, with properties calculated at the PBE level.

a b c (Å): 9.0149 4.6833 8.1134
angles (deg): 90.00 90.00 90.00
Fractional positions:
Li 0.2496 0.2500 0.0833
Li 0.2504 0.7500 0.5833
Li 0.7496 0.2500 0.4167
Li 0.7504 0.7500 0.9167
Ac 0.0000 0.2500 0.7497
Ac 0.0000 0.7500 0.2503
Ac 0.5000 0.2500 0.7503
Ac 0.5000 0.7500 0.2497
Sb 0.2502 0.2500 0.4166
Sb 0.2498 0.7500 0.9166
Sb 0.7502 0.2500 0.0834
Sb 0.7498 0.7500 0.5834

## Properties
The relative energy among the computed polymorphs is 11 meV/atom. The crystal system is orthorhombic.

No. 11
Below is crystalline LiAcScSb at its relaxed geometry, with properties calculated at the PBE level.

a b c (Å): 5.3561 5.3561 5.3561
angles (deg): 60.00 60.00 60.00
Fractional positions:
Li 0.0000 0.0000 0.0000
Ac 0.7500 0.7500 0.7500
Sc 0.2500 0.2500 0.2500
Sb 0.5000 0.5000 0.5000

## Properties
The crystal system is cubic. The total DFT energy (no corrections) comes out at -4.43 eV/atom.

No. 12
Below is crystalline LiAcSbSe at its relaxed geometry, with properties calculated at the PBE level.

a b c (Å): 4.6101 4.6101 10.1534
angles (deg): 90.00 90.00 90.00
Fractional positions:
Li 0.2500 0.7500 0.0000
Li 0.7500 0.2500 0.0000
Ac 0.2500 0.2500 0.2845
Ac 0.7500 0.7500 0.7155
Sb 0.2500 0.2500 0.8438
Sb 0.7500 0.7500 0.1562
Se 0.2500 0.7500 0.5000
Se 0.7500 0.2500 0.5000

## Properties
The crystal system is tetragonal. The total DFT energy (no corrections) comes out at -4.48 eV/atom.